Run one
A plane-wave DFT calculation with PBE was carried out for a relaxed structure of Nb3W5.

The structure in POSCAR format:
```
Nb3W5
1.0
-1.9152 1.9152 9.3969
1.9152 -1.9152 9.3969
1.9152 1.9152 -9.3969
Nb W
3 5
direct
0.0000 0.0000 0.0000
0.6263 0.1263 0.5000
0.8737 0.3737 0.5000
0.1260 0.6260 0.5000
0.2498 0.2498 0.0000
0.3740 0.8740 0.5000
0.5000 0.5000 0.0000
0.7502 0.7502 0.0000
```

**Fermi-level density of states**: 6.4 states/eV per cell
**SG**: I-4m2 (119)

***

Run two
A plane-wave DFT calculation with PBE was carried out for a relaxed structure of Nb3W5.

The structure in POSCAR format:
```
Nb3W5
1.0
-3.2245 3.2245 3.2245
3.2245 -3.2245 3.2245
3.2245 3.2245 -3.2245
Nb W
3 5
direct
0.0000 0.5000 0.5000
0.5000 0.0000 0.5000
0.5000 0.5000 0.0000
0.0000 0.0000 0.0000
0.0000 0.0000 0.5000
0.0000 0.5000 0.0000
0.5000 0.0000 0.0000
0.5000 0.5000 0.5000
```

**Fermi-level density of states**: 2.9 states/eV per cell
**SG**: Im-3m (229)

***

Relative energy table, unit eV/atom: run one 0.348; run two 0.000